## Pr6Nd4Tm (PBE)

Data for a geometry-optimized Pr6Nd4Tm structure.

Results
Density of states at the Fermi level ... 36.3 states/eV per cell
DFT total energy ... -98.509 eV for the cell shown

Cell lengths 6.7664, 6.7664, 17.4791 Å; angles 90.00, 90.00, 90.00 degrees
With the nearest neighbours (Å) after each atom.
Space group I-42m (No. 121)
Symmetry-distinct sites (fractional):
Pr 0.0000 0.5000 0.0000 [4 per cell]  4 Pr 3.34, 2 Tm 3.38
Pr 0.1772 0.1772 0.1276 [8 per cell]  3 Pr 3.34-3.39, 5 Nd 3.42-3.68
Nd 0.1885 0.1885 0.3233 [8 per cell]  5 Pr 3.42-3.68, 1 Tm 3.58, 1 Nd 3.61
Tm 0.0000 0.0000 0.5000 [2 per cell]  4 Pr 3.38, 4 Nd 3.58